(1)
# ZnC3Cl | the Alexandria database | PBE | optimized geometry
# polymorph energy (0 for the lowest one): 0 meV/atom
# calculated volume: 68 Å³/cell
# mass density: 3.3 Mg/m³
# ΔE_f (raw): 3.16 eV per atom
# DFT total energy: -2.99 eV/atom
# size of the total moment: 0.309 μB/atom
data_ZnC3Cl
_chemical_formula_sum 'Zn1 C3 Cl1'
_cell_length_a 4.086
_cell_length_b 4.086
_cell_length_c 4.086
_cell_angle_alpha 90.00
_cell_angle_beta 90.00
_cell_angle_gamma 90.00
_space_group_name_H-M_alt 'P m -3 m'
_space_group_IT_number 221
_space_group_name_Hall '-P 4 2 3'
loop_
_atom_site_label
_atom_site_fract_x
_atom_site_fract_y
_atom_site_fract_z
Zn1 0.000 0.000 0.000
C1 0.000 0.000 0.500
Cl1 0.500 0.500 0.500


(2)
# NaZn2Rh2 | the Alexandria database | PBE | optimized geometry
# polymorph energy (0 for the lowest one): 0 meV/atom
# calculated volume: 160 Å³/cell
# mass density: 7.5 Mg/m³
# DFT total energy: -3.89 eV/atom
# size of the total moment: 0.000 μB/atom
# energy of formation: -0.173 eV per atom
data_NaZn2Rh2
_chemical_formula_sum 'Na2 Zn4 Rh4'
_cell_length_a 7.507
_cell_length_b 7.507
_cell_length_c 2.833
_cell_angle_alpha 90.00
_cell_angle_beta 90.00
_cell_angle_gamma 90.00
_space_group_name_H-M_alt 'P 4/m b m'
_space_group_IT_number 127
_space_group_name_Hall '-P 4 2ab'
loop_
_atom_site_label
_atom_site_fract_x
_atom_site_fract_y
_atom_site_fract_z
Na1 0.000 0.000 0.000
Zn1 0.167 0.333 0.500
Rh1 0.127 0.627 0.000


(3)
# Tb2FeCo3 | the Alexandria database | PBE | optimized geometry
# polymorph energy (0 for the lowest one): 0 meV/atom
# calculated volume: 282 Å³/cell
# mass density: 9.7 Mg/m³
# DFT total energy: -6.68 eV/atom
# size of the total moment: 0.793 μB/atom
# energy of formation: -0.170 eV per atom
data_Tb2FeCo3
_chemical_formula_sum 'Tb6 Fe3 Co9'
_cell_length_a 5.2072
_cell_length_b 5.2072
_cell_length_c 12.0125
_cell_angle_alpha 90.00
_cell_angle_beta 90.00
_cell_angle_gamma 120.00
_space_group_name_H-M_alt 'R -3 m'
_space_group_IT_number 166
_space_group_name_Hall '-R 3 2"'
loop_
_atom_site_label
_atom_site_fract_x
_atom_site_fract_y
_atom_site_fract_z
Tb1 0.0000 0.0000 0.1271
Fe1 0.0000 0.0000 0.5000
Co1 0.0000 0.5000 0.0000


(4)
# SrLa2ZnFe | the Alexandria database | PBE | optimized geometry
# calculated volume: 143 Å³/cell
# mass density: 5.7 Mg/m³
# DFT total energy: -4.19 eV/atom
# size of the total moment: 0.000 μB/atom
# energy of formation: 0.065 eV per atom
data_SrLa2ZnFe
_chemical_formula_sum 'Sr1 La2 Zn1 Fe1'
_cell_length_a 5.235
_cell_length_b 5.235
_cell_length_c 5.214
_cell_angle_alpha 90.00
_cell_angle_beta 90.00
_cell_angle_gamma 90.00
_space_group_name_H-M_alt 'P 4/m m m'
_space_group_IT_number 123
_space_group_name_Hall '-P 4 2'
loop_
_atom_site_label
_atom_site_fract_x
_atom_site_fract_y
_atom_site_fract_z
Sr1 0.000 0.000 0.000
La1 0.000 0.500 0.500
Zn1 0.500 0.500 0.000
Fe1 0.500 0.500 0.500


(5)
# Al2TlV | the Alexandria database | PBE | optimized geometry
# polymorph energy (0 for the lowest one): 0 meV/atom
# calculated volume: 310 Å³/cell
# mass density: 6.6 Mg/m³
# DFT total energy: -4.22 eV/atom
# size of the total moment: 0.874 μB/atom
# energy of formation: 0.526 eV per atom
data_Al2TlV
_chemical_formula_sum 'Al8 Tl4 V4'
_cell_length_a 6.769
_cell_length_b 6.769
_cell_length_c 6.769
_cell_angle_alpha 90.00
_cell_angle_beta 90.00
_cell_angle_gamma 90.00
_space_group_name_H-M_alt 'F m -3 m'
_space_group_IT_number 225
_space_group_name_Hall '-F 4 2 3'
loop_
_atom_site_label
_atom_site_fract_x
_atom_site_fract_y
_atom_site_fract_z
Al1 0.250 0.250 0.250
Tl1 0.000 0.000 0.000
V1 0.000 0.000 0.500


(6)
# CrICl | the Alexandria database | PBE | optimized geometry
# calculated volume: 195 Å³/cell
# mass density: 3.7 Mg/m³
# ΔE_f (raw): -0.58 eV per atom
# DFT total energy: -4.92 eV/atom
# size of the total moment: 1.333 μB/atom
data_CrICl
_chemical_formula_sum 'Cr2 I2 Cl2'
_cell_length_a 3.698
_cell_length_b 4.314
_cell_length_c 13.499
_cell_angle_alpha 91.06
_cell_angle_beta 90.02
_cell_angle_gamma 115.36
_space_group_name_H-M_alt 'P -1'
_space_group_IT_number 2
loop_
_space_group_symop_operation_xyz
'x,y,z'
'-x,-y,-z'
loop_
_atom_site_label
_atom_site_fract_x
_atom_site_fract_y
_atom_site_fract_z
Cr1 0.234 0.463 0.274
I1 0.124 0.253 0.848
Cl1 0.358 0.720 0.626